[1]
This record from the Alexandria database describes a relaxed structure of Li2CaCe2Pb2. The functional is PBE.

The structure in CIF format:
```
data_Li2CaCe2Pb2
_chemical_formula_sum 'Li2 Ca1 Ce2 Pb2'
_space_group_name_H-M_alt 'P 1'
_space_group_IT_number 1
_space_group_name_Hall 'P 1'
_cell_length_a 4.742
_cell_length_b 4.742
_cell_length_c 9.729
_cell_angle_alpha 75.89
_cell_angle_beta 75.89
_cell_angle_gamma 60.00
loop_
_atom_site_label
_atom_site_type_symbol
_atom_site_fract_x
_atom_site_fract_y
_atom_site_fract_z
_atom_site_occupancy
Li1 Li 0.587 0.587 0.239 1
Li2 Li 0.413 0.413 0.761 1
Pb1 Pb 0.737 0.737 0.788 1
Pb2 Pb 0.263 0.263 0.212 1
Ce1 Ce 0.144 0.144 0.568 1
Ce2 Ce 0.856 0.856 0.432 1
Ca1 Ca 0.000 0.000 0.000 1
```

Calculated values
density of states at the Fermi level: 10.930 states/eV/f.u.
space group: R-3m, No. 166
energy of formation from the pure elements: -0.30 eV per atom
total energy: -3.892 eV/atom
theoretical density: 6.84 Mg/m³

[2]
This record from the Alexandria database describes a relaxed structure of LiCaCePd. The functional is PBE.

The structure in CIF format:
```
data_LiCaCePd
_chemical_formula_sum 'Li1 Ca1 Ce1 Pd1'
_space_group_name_H-M_alt 'P 1'
_space_group_IT_number 1
_space_group_name_Hall 'P 1'
_cell_length_a 5.127
_cell_length_b 5.127
_cell_length_c 5.127
_cell_angle_alpha 60.00
_cell_angle_beta 60.00
_cell_angle_gamma 60.00
loop_
_atom_site_label
_atom_site_type_symbol
_atom_site_fract_x
_atom_site_fract_y
_atom_site_fract_z
_atom_site_occupancy
Li1 Li 0.000 0.000 0.000 1
Ca1 Ca 0.250 0.250 0.250 1
Pd1 Pd 0.500 0.500 0.500 1
Ce1 Ce 0.750 0.750 0.750 1
```

Calculated values
density of states at the Fermi level: 8.956 states/eV/f.u.
space group: F-43m, No. 216
energy of formation from the pure elements: -0.23 eV per atom
total energy: -3.988 eV/atom
theoretical density: 5.11 Mg/m³

[3]
This record from the Alexandria database describes a relaxed structure of Li2CaCePt2. The functional is PBE.

The structure in CIF format:
```
data_Li2CaCePt2
_chemical_formula_sum 'Li2 Ca1 Ce1 Pt2'
_space_group_name_H-M_alt 'P 1'
_space_group_IT_number 1
_space_group_name_Hall 'P 1'
_cell_length_a 4.366
_cell_length_b 4.366
_cell_length_c 7.452
_cell_angle_alpha 90.00
_cell_angle_beta 90.00
_cell_angle_gamma 120.00
loop_
_atom_site_label
_atom_site_type_symbol
_atom_site_fract_x
_atom_site_fract_y
_atom_site_fract_z
_atom_site_occupancy
Li1 Li 0.333 0.667 0.728 1
Li2 Li 0.667 0.333 0.272 1
Ca1 Ca 0.000 0.000 0.500 1
Ce1 Ce 0.000 0.000 0.000 1
Pt1 Pt 0.333 0.667 0.231 1
Pt2 Pt 0.667 0.333 0.769 1
```

Calculated values
density of states at the Fermi level: 7.140 states/eV/f.u.
space group: P-3m1, No. 164
energy of formation from the pure elements: -0.68 eV per atom
total energy: -4.654 eV/atom
theoretical density: 7.89 Mg/m³

[4]
This record from the Alexandria database describes a relaxed structure of LiCaCeRh. The functional is PBE.

The structure in CIF format:
```
data_LiCaCeRh
_chemical_formula_sum 'Li1 Ca1 Ce1 Rh1'
_space_group_name_H-M_alt 'P 1'
_space_group_IT_number 1
_space_group_name_Hall 'P 1'
_cell_length_a 5.019
_cell_length_b 5.019
_cell_length_c 5.019
_cell_angle_alpha 60.00
_cell_angle_beta 60.00
_cell_angle_gamma 60.00
loop_
_atom_site_label
_atom_site_type_symbol
_atom_site_fract_x
_atom_site_fract_y
_atom_site_fract_z
_atom_site_occupancy
Rh1 Rh 0.000 0.000 0.000 1
Ce1 Ce 0.750 0.750 0.750 1
Li1 Li 0.500 0.500 0.500 1
Ca1 Ca 0.250 0.250 0.250 1
```

Calculated values
density of states at the Fermi level: 7.264 states/eV/f.u.
space group: F-43m, No. 216
energy of formation from the pure elements: -0.22 eV per atom
total energy: -4.519 eV/atom
theoretical density: 5.39 Mg/m³

[5]
This record from the Alexandria database describes a relaxed structure of LiCa3Ce3S8. The functional is PBE.

The structure in CIF format:
```
data_LiCa3Ce3S8
_chemical_formula_sum 'Li1 Ca3 Ce3 S8'
_space_group_name_H-M_alt 'P 1'
_space_group_IT_number 1
_space_group_name_Hall 'P 1'
_cell_length_a 8.026
_cell_length_b 8.027
_cell_length_c 8.054
_cell_angle_alpha 119.90
_cell_angle_beta 89.99
_cell_angle_gamma 120.00
loop_
_atom_site_label
_atom_site_type_symbol
_atom_site_fract_x
_atom_site_fract_y
_atom_site_fract_z
_atom_site_occupancy
Ca1 Ca 0.000 0.500 0.000 1
Ca2 Ca 0.500 0.500 0.000 1
Ca3 Ca 0.000 0.000 0.000 1
Ce1 Ce 0.500 0.500 0.500 1
Ce2 Ce 0.500 0.000 0.500 1
Ce3 Ce 0.000 0.500 0.500 1
S1 S 0.249 0.497 0.246 1
S2 S 0.242 0.994 0.736 1
S3 S 0.248 0.006 0.264 1
S4 S 0.243 0.485 0.737 1
S5 S 0.751 0.503 0.754 1
S6 S 0.758 0.006 0.264 1
S7 S 0.757 0.515 0.263 1
S8 S 0.752 0.994 0.736 1
Li1 Li 0.000 0.000 0.500 1
```

Calculated values
density of states at the Fermi level: 20.707 states/eV/f.u.
space group: R-3m, No. 166
total energy: -5.812 eV/atom
theoretical density: 3.63 Mg/m³
formation energy from raw total energies: -1.896 eV/atom

[6]
This record from the Alexandria database describes a relaxed structure of LiCa3Ce2S6. The functional is PBE.

The structure in CIF format:
```
data_LiCa3Ce2S6
_chemical_formula_sum 'Li1 Ca3 Ce2 S6'
_space_group_name_H-M_alt 'P 1'
_space_group_IT_number 1
_space_group_name_Hall 'P 1'
_cell_length_a 6.966
_cell_length_b 6.966
_cell_length_c 7.006
_cell_angle_alpha 99.54
_cell_angle_beta 99.54
_cell_angle_gamma 119.97
loop_
_atom_site_label
_atom_site_type_symbol
_atom_site_fract_x
_atom_site_fract_y
_atom_site_fract_z
_atom_site_occupancy
S1 S 0.083 0.415 0.250 1
S2 S 0.585 0.917 0.750 1
S3 S 0.249 0.249 0.751 1
S4 S 0.917 0.585 0.750 1
S5 S 0.415 0.083 0.250 1
S6 S 0.751 0.751 0.249 1
Ce1 Ce 0.667 0.333 0.000 1
Ce2 Ce 0.333 0.667 0.000 1
Li1 Li 0.000 0.000 0.000 1
Ca1 Ca 0.835 0.165 0.500 1
Ca2 Ca 0.165 0.835 0.500 1
Ca3 Ca 0.500 0.500 0.500 1
```

Calculated values
density of states at the Fermi level: 14.120 states/eV/f.u.
space group: C2/m, No. 12
total energy: -5.663 eV/atom
theoretical density: 3.58 Mg/m³
formation energy from raw total energies: -1.950 eV/atom